No. 1
VASP calculation (PBE) on an optimized crystal structure of KYGeTe3.

Cell lengths 9.208, 4.296, 11.720 Å; angles 90.00, 109.50, 90.00 degrees
Space group P2_1/m (No. 11)
One atom of each set of equivalent atoms:
K1 0.233 0.250 0.281 [2 per cell]
Y1 0.364 0.750 0.841 [2 per cell]
Ge1 0.118 0.250 0.553 [2 per cell]
Te1 0.105 0.250 0.780 [2 per cell]
Te2 0.330 0.750 0.566 [2 per cell]
Te3 0.385 0.750 0.108 [2 per cell]

Values from the calculation:
E_tot in eV/cell: -54.6
Density in g/cm³: 4.4
Uncorrected formation energy in eV per atom: -0.95

No. 2
VASP calculation (PBE) on an optimized crystal structure of NaMn2AgBr8.

Cell lengths 7.7703, 7.7703, 8.0443 Å; angles 90.00, 90.00, 120.00 degrees
Space group P-3 (No. 147)
One atom of each set of equivalent atoms:
Na1 0.0000 0.0000 0.0000 [1 per cell]
Mn1 0.3333 0.6667 0.8040 [2 per cell]
Ag1 0.0000 0.0000 0.5000 [1 per cell]
Br1 0.1480 0.3217 0.7198 [6 per cell]
Br2 0.3333 0.6667 0.0920 [2 per cell]

Values from the calculation:
E_tot in eV/cell: -43.8
Density in g/cm³: 3.5
Uncorrected formation energy in eV per atom: -0.66

No. 3
VASP calculation (PBE) on an optimized crystal structure of Th5NiPb3.

Cell lengths 9.6470, 9.6470, 6.5720 Å; angles 90.00, 90.00, 120.00 degrees
Space group P6_3/mcm (No. 193)
One atom of each set of equivalent atoms:
Th1 0.0000 0.2441 0.2500 [6 per cell]
Th2 0.3333 0.6667 0.0000 [4 per cell]
Ni1 0.0000 0.0000 0.0000 [2 per cell]
Pb1 0.0000 0.3918 0.7500 [6 per cell]

Values from the calculation:
ΔH_f (0 K) in eV/atom: -0.35
E_tot in eV/cell: -114.4
Density in g/cm³: 11.5

No. 4
VASP calculation (PBE) on an optimized crystal structure of SrRh2Pb2.

Cell lengths 8.361, 8.361, 3.202 Å; angles 90.00, 90.00, 90.00 degrees
Space group P4/mbm (No. 127)
One atom of each set of equivalent atoms:
Sr1 0.000 0.000 0.000 [2 per cell]
Rh1 0.161 0.339 0.500 [4 per cell]
Pb1 0.135 0.635 0.000 [4 per cell]

Values from the calculation:
ΔH_f (0 K) in eV/atom: -0.07
E_tot in eV/cell: -48.3
Density in g/cm³: 10.5

No. 5
VASP calculation (PBE) on an optimized crystal structure of YSi2Pd.

Cell lengths 3.896, 6.134, 6.906 Å; angles 90.00, 90.00, 90.00 degrees
Space group Amm2 (No. 38)
One atom of each set of equivalent atoms:
Y1 0.000 0.000 0.000 [2 per cell]
Si1 0.500 0.183 0.699 [4 per cell]
Pd1 0.500 0.000 0.385 [2 per cell]

Values from the calculation:
E_tot in eV/cell: -49.1
Density in g/cm³: 5.1
Uncorrected formation energy in eV per atom: -0.51

No. 6
VASP calculation (PBE) on an optimized crystal structure of Sr2Ga3Ni12Ir.

Cell lengths 6.0933, 6.0933, 26.4503 Å; angles 90.00, 90.00, 120.00 degrees
Space group R-3m (No. 166, hexagonal axes)
One atom of each set of equivalent atoms:
Sr1 0.0000 0.0000 0.1537 [6 per cell]
Ga1 0.0000 0.5000 0.0000 [9 per cell]
Ni1 0.0629 0.5314 0.0913 [18 per cell]
Ni2 0.0721 0.5361 0.6192 [18 per cell]
Ir1 0.0000 0.0000 0.5000 [3 per cell]

Values from the calculation:
ΔH_f (0 K) in eV/atom: 0.09
E_tot in eV/cell: -267.4
Density in g/cm³: 7.5

No. 7
VASP calculation (PBE) on an optimized crystal structure of Mo2Ir2Ru.

Cell lengths 7.470, 7.470, 2.810 Å; angles 90.00, 90.00, 90.00 degrees
Space group P4/mbm (No. 127)
One atom of each set of equivalent atoms:
Mo1 0.171 0.329 0.000 [4 per cell]
Ir1 0.127 0.627 0.500 [4 per cell]
Ru1 0.000 0.000 0.500 [2 per cell]

Values from the calculation:
ΔH_f (0 K) in eV/atom: 0.06
E_tot in eV/cell: -96.7
Density in g/cm³: 14.3

No. 8
VASP calculation (PBE) on an optimized crystal structure of BSb2HI.

Cell lengths 4.354, 4.354, 5.983 Å; angles 90.00, 90.00, 90.00 degrees
Space group P4/mmm (No. 123)
One atom of each set of equivalent atoms:
B1 0.000 0.000 0.000 [1 per cell]
Sb1 0.000 0.500 0.500 [2 per cell]
H1 0.500 0.500 0.500 [1 per cell]
I1 0.500 0.500 0.000 [1 per cell]

Values from the calculation:
E_tot in eV/cell: -13.7
Density in g/cm³: 5.6

No. 9
VASP calculation (PBE) on an optimized crystal structure of Nd3SmDy6Th2.

Cell lengths 6.237, 10.797, 11.802 Å; angles 90.00, 100.16, 90.00 degrees
Space group C2/m (No. 12)
One atom of each set of equivalent atoms:
Nd1 0.000 0.000 0.000 [2 per cell]
Nd2 0.000 0.334 0.000 [4 per cell]
Sm1 0.000 0.500 0.500 [2 per cell]
Dy1 0.244 0.000 0.745 [4 per cell]
Dy2 0.249 0.169 0.255 [8 per cell]
Th1 0.000 0.167 0.500 [4 per cell]

Values from the calculation:
ΔH_f (0 K) in eV/atom: 0.02
E_tot in eV/cell: -122.4
Density in g/cm³: 8.6

No. 10
VASP calculation (PBE) on an optimized crystal structure of ReTe2Mo.

Cell lengths 3.1779, 3.1779, 31.0932 Å; angles 90.00, 90.00, 120.00 degrees
Space group R3m (No. 160, hexagonal axes)
One atom of each set of equivalent atoms:
Re1 0.0000 0.0000 0.0000 [3 per cell]
Te1 0.0000 0.0000 0.5325 [3 per cell]
Te2 0.0000 0.0000 0.7315 [3 per cell]
Mo1 0.0000 0.0000 0.2647 [3 per cell]

Values from the calculation:
E_tot in eV/cell: -84.3
Density in g/cm³: 9.8
Uncorrected formation energy in eV per atom: 0.37

No. 11
VASP calculation (PBE) on an optimized crystal structure of LiIrBr4.

Cell lengths 13.019, 3.774, 6.729 Å; angles 90.00, 96.69, 90.00 degrees
Space group C2/m (No. 12)
One atom of each set of equivalent atoms:
Li1 0.000 0.000 0.000 [2 per cell]
Ir1 0.000 0.500 0.500 [2 per cell]
Br1 0.107 0.000 0.386 [4 per cell]
Br2 0.110 0.500 0.835 [4 per cell]

Values from the calculation:
E_tot in eV/cell: -42.9
Density in g/cm³: 5.2
Uncorrected formation energy in eV per atom: -0.66

No. 12
VASP calculation (PBE) on an optimized crystal structure of Cu2BiBr5.

Cell lengths 6.803, 7.227, 7.271 Å; angles 92.38, 117.33, 114.47 degrees
Space group P1 (No. 1)
One atom of each set of equivalent atoms:
Cu1 0.000 0.000 0.000 [1 per cell]
Cu2 0.053 0.397 0.012 [1 per cell]
Bi1 0.296 0.406 0.486 [1 per cell]
Br1 0.068 0.189 0.734 [1 per cell]
Br2 0.366 0.093 0.372 [1 per cell]
Br3 0.478 0.670 0.259 [1 per cell]
Br4 0.756 0.136 0.082 [1 per cell]
Br5 0.815 0.619 0.846 [1 per cell]

Values from the calculation:
E_tot in eV/cell: -23.9
Density in g/cm³: 4.4
Uncorrected formation energy in eV per atom: -0.43

- Among the records above, which one has the highest density?
  Mo2Ir2Ru

- Which formula does entry 3 have?
  Th5NiPb3

Please write out number 8 again, unchanged.
VASP calculation (PBE) on an optimized crystal structure of BSb2HI.

Cell lengths 4.354, 4.354, 5.983 Å; angles 90.00, 90.00, 90.00 degrees
Space group P4/mmm (No. 123)
One atom of each set of equivalent atoms:
B1 0.000 0.000 0.000 [1 per cell]
Sb1 0.000 0.500 0.500 [2 per cell]
H1 0.500 0.500 0.500 [1 per cell]
I1 0.500 0.500 0.000 [1 per cell]

Values from the calculation:
E_tot in eV/cell: -13.7
Density in g/cm³: 5.6